No. 1
The following is a PBE calculation of an optimized crystal structure of Pr7Sn2Hg2, from the Alexandria database.

Unit cell a=7.147 b=7.147 c=7.743 alpha=90.00 beta=90.00 gamma=108.64
Atoms (fractional coordinates):
Pr  0.000  0.000  0.000
Pr  0.000  0.500  0.291
Pr  0.000  0.500  0.709
Pr  0.500  0.000  0.291
Pr  0.500  0.000  0.709
Pr  0.500  0.500  0.254
Pr  0.500  0.500  0.746
Sn  0.175  0.175  0.500
Sn  0.825  0.825  0.500
Hg  0.282  0.718  0.000
Hg  0.718  0.282  0.000

Values from the calculation:
V = 34.1 Å³ per atom
energy of formation = -0.20 eV per atom
SG = No. 65
size of the total moment = 0.0 μB/f.u.

***

No. 2
The following is a PBE calculation of an optimized crystal structure of PrSn4Hg, from the Alexandria database.

Unit cell a=6.209 b=6.209 c=6.209 alpha=60.00 beta=60.00 gamma=60.00
Atoms (fractional coordinates):
Pr  0.000  0.000  0.000
Sn  0.375  0.375  0.375
Sn  0.375  0.375  0.875
Sn  0.375  0.875  0.375
Sn  0.875  0.375  0.375
Hg  0.750  0.750  0.750

Values from the calculation:
V = 28.2 Å³ per atom
energy of formation = -0.23 eV per atom
SG = No. 216
size of the total moment = 0.0 μB/f.u.

***

No. 3
The following is a PBE calculation of an optimized crystal structure of Pr8Sn2Hg, from the Alexandria database.

Unit cell a=10.355 b=10.355 c=7.064 alpha=104.56 beta=104.56 gamma=29.76
Atoms (fractional coordinates):
Pr  0.015  0.015  0.270
Pr  0.214  0.214  0.820
Pr  0.342  0.342  0.503
Pr  0.407  0.407  0.019
Pr  0.593  0.593  0.981
Pr  0.658  0.658  0.497
Pr  0.786  0.786  0.180
Pr  0.985  0.985  0.730
Sn  0.179  0.179  0.251
Sn  0.821  0.821  0.749
Hg  0.500  0.500  0.500

Values from the calculation:
V = 33.0 Å³ per atom
energy of formation = -0.35 eV per atom
SG = No. 12
size of the total moment = 0.0 μB/f.u.